1.
First-principles (PBE) data for a geometry-optimized Sr2Li2Se structure, as listed in Alexandria.

It has space group P4/mbm (No. 127), with a = 7.698 Å, b = 7.698 Å, c = 4.981 Å, α = 90.00°, β = 90.00° and γ = 90.00°. The asymmetric unit holds Sr at (0.175, 0.325, 0.000), Li at (0.134, 0.634, 0.500) and Se at (0.000, 0.000, 0.500).

As for the uncorrected formation energy: -0.4218 eV per atom.



2.
First-principles (PBE) data for a geometry-optimized KCa2ErBr8 structure, as listed in Alexandria.

It has space group P2/m (No. 10), with a = 6.672 Å, b = 9.041 Å, c = 7.024 Å, α = 90.00°, β = 90.44° and γ = 90.00°. The asymmetric unit holds K at (0.000, 0.000, 0.000), Ca at (0.500, 0.250, 0.500), Er at (0.000, 0.500, 0.000), Br at (0.239, 0.284, 0.164), Br at (0.257, 0.500, 0.673) and Br at (0.269, 0.000, 0.629).

As for the uncorrected formation energy: -1.9012 eV per atom.



3.
First-principles (PBE) data for a geometry-optimized Na2PmTl5 structure, as listed in Alexandria.

It has space group I4/mcm (No. 140), with a = 8.468 Å, b = 8.468 Å, c = 12.950 Å, α = 90.00°, β = 90.00° and γ = 90.00°. The asymmetric unit holds Na at (0.150, 0.350, 0.000), Pm at (0.000, 0.000, 0.250), Tl at (0.000, 0.000, 0.000) and Tl at (0.147, 0.353, 0.335).

The calculation puts the energy relative to the elements at -0.1025 eV/atom. For the energy relative to the lowest polymorph listed for this composition, the calculation gives 82 meV per atom.